No. 1
LiIn2Cl: optimized geometry, GGA-PBE.

It has space group Fm-3m (No. 225), with a = 7.526 Å, b = 7.526 Å, c = 7.526 Å, α = 90.00°, β = 90.00° and γ = 90.00°. The asymmetric unit holds Li at (0.000, 0.000, 0.000), In at (0.250, 0.250, 0.250) and Cl at (0.000, 0.000, 0.500).

The calculation puts the total energy at -2.47 eV/atom. As for the distance to the lowest polymorph of the same formula: 2.20 eV/f.u. The calculation puts the uncorrected formation energy at -0.6 eV per formula unit. The volume comes out at 26.64 Å³ per atom. The size of the total moment comes out at 0.000 μB per atom.


No. 2
LiIn4Cl5: optimized geometry, GGA-PBE.

It has space group I4 (No. 79), with a = 9.780 Å, b = 9.780 Å, c = 6.043 Å, α = 90.00°, β = 90.00° and γ = 90.00°. The asymmetric unit holds Li at (0.000, 0.000, 0.000), In at (0.089, 0.311, 0.559), Cl at (0.000, 0.000, 0.588) and Cl at (0.119, 0.232, 0.060).

The calculation puts the total energy at -3.20 eV/atom. The calculation puts the uncorrected formation energy at -9.9 eV per formula unit. The volume comes out at 28.90 Å³ per atom. The size of the total moment comes out at 0.000 μB per atom.


No. 3
LiIn2Cl2: optimized geometry, GGA-PBE.

It has space group P4/mbm (No. 127), with a = 7.766 Å, b = 7.766 Å, c = 4.599 Å, α = 90.00°, β = 90.00° and γ = 90.00°. The asymmetric unit holds Li at (0.000, 0.000, 0.000), In at (0.145, 0.355, 0.000) and Cl at (0.179, 0.679, 0.500).

The calculation puts the total energy at -2.73 eV/atom. As for the distance to the lowest polymorph of the same formula: 1.65 eV/f.u. The calculation puts the uncorrected formation energy at -2.6 eV per formula unit. The volume comes out at 27.74 Å³ per atom. The size of the total moment comes out at 0.000 μB per atom.